An optimized crystal structure of SrCe2Ag2Sn2. Source: Alexandria, functional GGA-PBE. Values from VASP.

Magnetization   2.1 μB/f.u.
Crystal system   trigonal
E   -4.290 eV/atom

Structure (Quantum ESPRESSO input):
```
&SYSTEM
  ibrav = 0, nat = 7, ntyp = 4
/
ATOMIC_SPECIES
Sr 87.62 Sr.upf
Ce 140.12 Ce.upf
Ag 107.87 Ag.upf
Sn 118.71 Sn.upf
CELL_PARAMETERS angstrom
2.408 1.390 9.543
-2.408 1.390 9.543
0.000 -2.781 9.543
ATOMIC_POSITIONS angstrom
Sr 0.000 0.000 0.000
Ce 0.000 0.000 4.136
Ce 0.000 0.000 24.492
Ag 0.000 0.000 12.303
Ag 0.000 0.000 16.325
Sn 0.000 0.000 7.418
Sn 0.000 0.000 21.209
```